A plane-wave DFT calculation with PBE was carried out for a geometry-optimized CdGaN2 structure.

Cell lengths 6.191, 6.191, 6.191 Å; angles 33.39, 33.39, 33.39 degrees
Atoms (fractional coordinates):
N  0.899  0.899  0.899
N  0.101  0.101  0.101
Cd  0.500  0.500  0.500
Ga  0.000  0.000  0.000

Computed properties:
ΔE_f (raw) = 797.3 meV/atom
Fermi-level density of states = 0.54 states/eV/atom
space group = No. 166

A plane-wave DFT calculation with PBE was carried out for a geometry-optimized MnTeAu2 structure.

Cell lengths 4.728, 4.728, 6.098 Å; angles 79.01, 79.01, 42.26 degrees
Atoms (fractional coordinates):
Au  0.218  0.218  0.278
Au  0.972  0.972  0.068
Mn  0.490  0.490  0.436
Te  0.819  0.819  0.719

Computed properties:
ΔE_f (raw) = 68.1 meV/atom
Fermi-level density of states = 0.45 states/eV/atom
space group = No. 8

A plane-wave DFT calculation with PBE was carried out for a geometry-optimized Ca3Cd3Ga structure.

Cell lengths 4.246, 6.206, 16.037 Å; angles 84.20, 82.39, 69.99 degrees
Atoms (fractional coordinates):
Ca  0.741  0.753  0.765
Ca  0.386  0.306  0.922
Ca  0.259  0.247  0.235
Ca  0.511  0.362  0.617
Ca  0.489  0.638  0.383
Ca  0.614  0.694  0.078
Cd  0.154  0.223  0.469
Cd  0.846  0.777  0.531
Cd  0.019  0.191  0.770
Cd  0.981  0.809  0.230
Cd  0.106  0.865  0.923
Cd  0.894  0.135  0.077
Ga  0.223  0.929  0.625
Ga  0.777  0.071  0.375

Computed properties:
E = -28.28 eV per cell
Fermi-level density of states = 0.69 states/eV/atom
space group = No. 12

A plane-wave DFT calculation with PBE was carried out for a geometry-optimized MnGeB2 structure.

Cell lengths 4.826, 4.826, 5.695 Å; angles 64.93, 64.93, 90.00 degrees
Atoms (fractional coordinates):
B  0.600  0.125  0.250
B  0.150  0.625  0.250
B  0.375  0.400  0.750
B  0.875  0.850  0.750
Ge  0.000  0.000  0.000
Ge  0.750  0.250  0.500
Mn  0.250  0.750  0.500
Mn  0.500  0.500  0.000

Computed properties:
E = -47.83 eV per cell
Fermi-level density of states = 0.43 states/eV/atom
space group = No. 122

A plane-wave DFT calculation with PBE was carried out for a geometry-optimized KSiTc2 structure.

Cell lengths 3.097, 3.097, 8.360 Å; angles 90.00, 90.00, 90.00 degrees
Atoms (fractional coordinates):
Tc  0.000  0.000  0.602
Tc  0.000  0.000  0.898
Si  0.500  0.500  0.750
K  0.500  0.500  0.250

Computed properties:
ΔE_f (raw) = 499.6 meV/atom
Fermi-level density of states = 0.80 states/eV/atom
space group = No. 123

A plane-wave DFT calculation with PBE was carried out for a geometry-optimized BaSrMg4 structure.

Cell lengths 6.525, 6.525, 6.525 Å; angles 60.00, 60.00, 60.00 degrees
Atoms (fractional coordinates):
Mg  0.625  0.625  0.625
Mg  0.125  0.625  0.625
Mg  0.625  0.125  0.625
Mg  0.625  0.625  0.125
Ba  0.000  0.000  0.000
Sr  0.250  0.250  0.250

Computed properties:
E = -10.55 eV per cell
Fermi-level density of states = 0.99 states/eV/atom
space group = No. 216

A plane-wave DFT calculation with PBE was carried out for a geometry-optimized Hg3TeAs structure.

Cell lengths 7.877, 7.877, 7.877 Å; angles 54.68, 54.68, 54.68 degrees
Atoms (fractional coordinates):
As  0.486  0.486  0.486
As  0.986  0.986  0.986
Hg  0.098  0.742  0.354
Hg  0.242  0.598  0.854
Hg  0.854  0.242  0.598
Hg  0.598  0.854  0.242
Hg  0.742  0.354  0.098
Hg  0.354  0.098  0.742
Te  0.291  0.291  0.291
Te  0.791  0.791  0.791

Computed properties:
ΔE_f (raw) = 68.0 meV/atom
Fermi-level density of states = 0.19 states/eV/atom
space group = No. 161

A plane-wave DFT calculation with PBE was carried out for a geometry-optimized SrZnCo3 structure.

Cell lengths 4.568, 4.568, 4.568 Å; angles 90.00, 90.00, 90.00 degrees
Atoms (fractional coordinates):
Co  0.500  0.000  0.000
Co  0.000  0.000  0.500
Co  0.000  0.500  0.000
Zn  0.000  0.000  0.000
Sr  0.500  0.500  0.500

Computed properties:
E = -20.27 eV per cell
Fermi-level density of states = 2.38 states/eV/atom
space group = No. 221

A plane-wave DFT calculation with PBE was carried out for a geometry-optimized MnCrTe2N structure.

Cell lengths 5.351, 5.351, 3.464 Å; angles 90.00, 90.00, 90.00 degrees
Atoms (fractional coordinates):
Te  0.000  0.500  0.000
Te  0.500  0.000  0.000
N  0.000  0.000  0.500
Cr  0.500  0.500  0.500
Mn  0.000  0.000  0.000

Computed properties:
ΔE_f (raw) = 283.1 meV/atom
Fermi-level density of states = 0.41 states/eV/atom
space group = No. 123

A plane-wave DFT calculation with PBE was carried out for a geometry-optimized Cs4RbF5 structure.

Cell lengths 6.018, 7.388, 7.388 Å; angles 80.45, 65.97, 65.97 degrees
Atoms (fractional coordinates):
Cs  0.203  0.199  0.398
Cs  0.600  0.602  0.199
Cs  0.799  0.801  0.602
Cs  0.402  0.398  0.801
Rb  0.001  0.000  0.000
F  0.290  0.807  0.615
F  0.712  0.193  0.385
F  0.097  0.615  0.193
F  0.500  0.000  0.000
F  0.905  0.385  0.807

Computed properties:
ΔE_f (raw) = -2650.7 meV/atom
Fermi-level density of states = 0.00 states/eV/atom
space group = No. 79

A plane-wave DFT calculation with PBE was carried out for a geometry-optimized Pd2Pt2W structure.

Cell lengths 4.943, 4.943, 5.094 Å; angles 119.02, 119.02, 90.00 degrees
Atoms (fractional coordinates):
Pt  0.750  0.250  0.500
Pt  0.250  0.750  0.500
Pd  0.338  0.338  0.675
Pd  0.662  0.662  0.325
W  0.000  0.000  0.000

Computed properties:
E = -31.07 eV per cell
Fermi-level density of states = 1.26 states/eV/atom
space group = No. 139

A plane-wave DFT calculation with PBE was carried out for a geometry-optimized K2Tl2Cd structure.

Cell lengths 6.831, 6.831, 9.470 Å; angles 80.26, 80.26, 61.79 degrees
Atoms (fractional coordinates):
K  0.269  0.035  0.344
K  0.965  0.731  0.156
K  0.731  0.965  0.656
K  0.035  0.269  0.844
Tl  0.751  0.499  0.504
Tl  0.249  0.501  0.496
Tl  0.499  0.751  0.004
Tl  0.501  0.249  0.996
Cd  0.638  0.362  0.250
Cd  0.362  0.638  0.750

Computed properties:
E = -16.51 eV per cell
Fermi-level density of states = 0.53 states/eV/atom
space group = No. 15

A plane-wave DFT calculation with PBE was carried out for a geometry-optimized AlBr3O structure.

Cell lengths 5.050, 5.050, 5.050 Å; angles 90.00, 90.00, 90.00 degrees
Atoms (fractional coordinates):
Br  0.000  0.000  0.500
Br  0.000  0.500  0.000
Br  0.500  0.000  0.000
Al  0.000  0.000  0.000
O  0.500  0.500  0.500

Computed properties:
ΔE_f (raw) = 51.8 meV/atom
Fermi-level density of states = 1.20 states/eV/atom
space group = No. 221

A plane-wave DFT calculation with PBE was carried out for a geometry-optimized Ho4AgPt structure.

Cell lengths 4.896, 4.897, 7.028 Å; angles 89.98, 89.99, 90.00 degrees
Atoms (fractional coordinates):
Pt  0.001  0.997  0.498
Ag  0.501  0.497  0.998
Ho  0.001  0.498  0.735
Ho  0.501  0.998  0.735
Ho  0.501  0.997  0.261
Ho  0.001  0.497  0.261

Computed properties:
E = -29.73 eV per cell
Fermi-level density of states = 1.09 states/eV/atom
space group = No. 123

A plane-wave DFT calculation with PBE was carried out for a geometry-optimized DyTmTl structure.

Cell lengths 5.379, 5.379, 6.683 Å; angles 90.00, 90.00, 120.00 degrees
Atoms (fractional coordinates):
Tm  0.000  0.500  0.000
Tm  0.000  0.500  0.500
Dy  0.333  0.167  0.750
Dy  0.667  0.833  0.250
Tl  0.333  0.167  0.250
Tl  0.667  0.833  0.750

Computed properties:
E = -24.36 eV per cell
Fermi-level density of states = 1.22 states/eV/atom
space group = No. 194

A plane-wave DFT calculation with PBE was carried out for a geometry-optimized SrCd3P structure.

Cell lengths 5.275, 5.275, 5.275 Å; angles 90.00, 90.00, 90.00 degrees
Atoms (fractional coordinates):
Sr  0.500  0.500  0.500
P  0.000  0.000  0.000
Cd  0.500  0.000  0.000
Cd  0.000  0.000  0.500
Cd  0.000  0.500  0.000

Computed properties:
E = -9.44 eV per cell
Fermi-level density of states = 0.70 states/eV/atom
space group = No. 221

A plane-wave DFT calculation with PBE was carried out for a geometry-optimized Sm3TeO3 structure.

Cell lengths 4.128, 9.221, 9.221 Å; angles 120.00, 90.00, 90.00 degrees
Atoms (fractional coordinates):
Te  0.250  0.667  0.333
Te  0.750  0.333  0.667
Sm  0.750  0.912  0.603
Sm  0.250  0.603  0.691
Sm  0.750  0.397  0.309
Sm  0.250  0.309  0.912
Sm  0.750  0.691  0.088
Sm  0.250  0.088  0.397
O  0.750  0.952  0.334
O  0.750  0.666  0.617
O  0.250  0.334  0.383
O  0.250  0.617  0.952
O  0.250  0.048  0.666
O  0.750  0.383  0.048

Computed properties:
ΔE_f (raw) = -2609.4 meV/atom
Fermi-level density of states = 0.37 states/eV/atom
space group = No. 176

A plane-wave DFT calculation with PBE was carried out for a geometry-optimized CsZnCd2 structure.

Cell lengths 3.643, 3.643, 9.148 Å; angles 90.00, 90.00, 90.00 degrees
Atoms (fractional coordinates):
Cd  0.000  0.000  0.175
Cd  0.000  0.000  0.825
Cs  0.500  0.500  0.500
Zn  0.500  0.500  0.000

Computed properties:
E = -3.51 eV per cell
Fermi-level density of states = 0.47 states/eV/atom
space group = No. 123

A plane-wave DFT calculation with PBE was carried out for a geometry-optimized AgPb4Cl structure.

Cell lengths 6.435, 6.435, 6.435 Å; angles 60.00, 60.00, 60.00 degrees
Atoms (fractional coordinates):
Cl  0.000  0.000  0.000
Pb  0.376  0.376  0.873
Pb  0.873  0.376  0.376
Pb  0.376  0.376  0.376
Pb  0.376  0.873  0.376
Ag  0.750  0.750  0.750

Computed properties:
ΔE_f (raw) = 174.3 meV/atom
Fermi-level density of states = 0.49 states/eV/atom
space group = No. 216

A plane-wave DFT calculation with PBE was carried out for a geometry-optimized CaTl6 structure.

Cell lengths 7.313, 7.313, 7.313 Å; angles 109.47, 109.47, 109.47 degrees
Atoms (fractional coordinates):
Tl  0.250  0.500  0.750
Tl  0.750  0.250  0.500
Tl  0.250  0.750  0.500
Tl  0.500  0.250  0.750
Tl  0.750  0.500  0.250
Tl  0.500  0.750  0.250
Ca  0.000  0.000  0.000

Computed properties:
E = -13.87 eV per cell
Fermi-level density of states = 0.79 states/eV/atom
space group = No. 229

A plane-wave DFT calculation with PBE was carried out for a geometry-optimized MgTlAgHg structure.

Cell lengths 5.015, 5.015, 5.015 Å; angles 60.00, 60.00, 60.00 degrees
Atoms (fractional coordinates):
Hg  0.000  0.000  0.000
Mg  0.750  0.750  0.750
Ag  0.250  0.250  0.250
Tl  0.500  0.500  0.500

Computed properties:
E = -7.09 eV per cell
Fermi-level density of states = 0.44 states/eV/atom
space group = No. 216

A plane-wave DFT calculation with PBE was carried out for a geometry-optimized RbLi2ZnSn structure.

Cell lengths 5.439, 5.439, 5.282 Å; angles 90.00, 90.00, 90.00 degrees
Atoms (fractional coordinates):
Zn  0.000  0.000  0.500
Rb  0.500  0.500  0.500
Li  0.000  0.500  0.000
Li  0.500  0.000  0.000
Sn  0.000  0.000  0.000

Computed properties:
E = -10.39 eV per cell
Fermi-level density of states = 0.34 states/eV/atom
space group = No. 123

A plane-wave DFT calculation with PBE was carried out for a geometry-optimized HoBe2Rh structure.

Cell lengths 3.853, 3.853, 5.305 Å; angles 68.71, 68.71, 60.00 degrees
Atoms (fractional coordinates):
Be  0.803  0.803  0.592
Be  0.197  0.197  0.408
Rh  0.500  0.500  0.500
Ho  0.000  0.000  0.000

Computed properties:
E = -21.22 eV per cell
Fermi-level density of states = 0.66 states/eV/atom
space group = No. 166

A plane-wave DFT calculation with PBE was carried out for a geometry-optimized DyHoPu2 structure.

Cell lengths 3.364, 3.364, 12.257 Å; angles 82.11, 82.11, 60.00 degrees
Atoms (fractional coordinates):
Pu  0.914  0.914  0.259
Pu  0.086  0.086  0.741
Ho  0.000  0.000  0.000
Dy  0.500  0.500  0.500

Computed properties:
E = -36.47 eV per cell
Fermi-level density of states = 4.39 states/eV/atom
space group = No. 166

A plane-wave DFT calculation with PBE was carried out for a geometry-optimized ErZnBi2 structure.

Cell lengths 4.299, 4.299, 7.652 Å; angles 73.69, 73.69, 60.00 degrees
Atoms (fractional coordinates):
Zn  0.000  0.000  0.000
Bi  0.741  0.741  0.776
Bi  0.259  0.259  0.224
Er  0.500  0.500  0.500

Computed properties:
E = -14.09 eV per cell
Fermi-level density of states = 0.62 states/eV/atom
space group = No. 166

A plane-wave DFT calculation with PBE was carried out for a geometry-optimized TcAgO3 structure.

Cell lengths 4.973, 7.730, 7.501 Å; angles 110.14, 90.00, 90.00 degrees
Atoms (fractional coordinates):
Ag  0.864  0.577  0.715
Ag  0.136  0.423  0.285
Ag  0.636  0.577  0.215
Ag  0.364  0.423  0.785
O  0.904  0.060  0.707
O  0.390  0.695  0.991
O  0.924  0.842  0.926
O  0.096  0.940  0.293
O  0.576  0.842  0.426
O  0.596  0.060  0.207
O  0.424  0.158  0.574
O  0.610  0.305  0.009
O  0.890  0.305  0.509
O  0.076  0.158  0.074
O  0.110  0.695  0.491
O  0.404  0.940  0.793
Tc  0.786  0.065  0.454
Tc  0.214  0.935  0.546
Tc  0.714  0.065  0.954
Tc  0.286  0.935  0.046

Computed properties:
ΔE_f (raw) = -923.1 meV/atom
Fermi-level density of states = 0.43 states/eV/atom
space group = No. 14